Entry from Alexandria via LeMat-Bulk: a geometry-optimized MnTl2CdF6 structure (PBE with a Hubbard U).

Values from the calculation:
- Density of states at the Fermi level: 0.0000 states/eV/atom
- Calculated total energy: -4.632 eV per atom
- Magnetization: 5.000 μB/f.u.

Unit cell a=10.774 b=6.221 c=6.219 alpha=90.00 beta=125.25 gamma=90.00
Space group C2/m (No. 12)
Inequivalent atoms, fractional coordinates:
Mn (0.000, 0.000, 0.000)
Tl (0.250, 0.000, 0.750)
Cd (0.000, 0.500, 0.500)
F (0.001, 0.243, 0.244)
F (0.243, 0.000, 0.241)